Hf2Be2Sn at its PBEsol-relaxed geometry. Source: the Alexandria database, functional SCAN.

Unit cell a=6.358 b=6.358 c=3.873 alpha=90.00 beta=90.00 gamma=90.00
Space group P4/mbm (No. 127)
Symmetry-distinct sites (fractional):
1 Hf 0.169 0.331 0.000 (multiplicity 4)
2 Be 0.116 0.616 0.500 (multiplicity 4)
3 Sn 0.000 0.000 0.500 (multiplicity 2)

Calculated values
formation enthalpy at 0 K	-1.7	eV per formula unit
total moment	0.0	μB per formula unit
E	-34.33	eV per atom

Hf2BeSn at its PBEsol-relaxed geometry. Source: the Alexandria database, functional SCAN.

Unit cell a=6.660 b=6.660 c=6.660 alpha=90.00 beta=90.00 gamma=90.00
Space group Fm-3m (No. 225)
Symmetry-distinct sites (fractional):
1 Hf 0.250 0.250 0.250 (multiplicity 8)
2 Be 0.000 0.000 0.000 (multiplicity 4)
3 Sn 0.000 0.000 0.500 (multiplicity 4)

Calculated values
formation enthalpy at 0 K	0.2	eV per formula unit
total moment	0.0	μB per formula unit
E	-41.35	eV per atom

SrHfBe3 at its PBEsol-relaxed geometry. Source: the Alexandria database, functional SCAN.

Unit cell a=4.521 b=4.521 c=4.521 alpha=90.00 beta=90.00 gamma=90.00
Space group Pm-3m (No. 221)
Symmetry-distinct sites (fractional):
1 Sr 0.000 0.000 0.000 (multiplicity 1)
2 Hf 0.500 0.500 0.500 (multiplicity 1)
3 Be 0.000 0.000 0.500 (multiplicity 3)

Calculated values
formation enthalpy at 0 K	10.4	eV per formula unit
total moment	0.0	μB per formula unit
E	-17.51	eV per atom